A plane-wave DFT calculation with GGA-PBE was carried out for crystalline Y2SiAu at its relaxed geometry.

- Space group: No. 44
- ρ: 7.32 Mg/m³
- D(E_F): 2.9 states/eV per cell
- Raw total energy: -6.04 eV per atom
- E_form (uncorrected): -2.54 eV/f.u.

abc: 6.092 6.092 6.092
angles: 143.15 137.15 57.77
Atoms (fractional coordinates):
Y 0.000 0.000 0.000
Y 0.731 0.231 0.500
Si 0.453 0.453 0.000
Au 0.273 0.773 0.500